(1)
# Li3TlCo

A relaxed structure of Li3TlCo (PBE, the Alexandria database).

a = 4.638 Å, b = 4.638 Å, c = 4.638 Å
α = 90.00°, β = 90.00°, γ = 90.00°
Sites, in units of the cell vectors:
Li: 0.000 0.500 0.000
Li: 0.500 0.000 0.000
Li: 0.000 0.000 0.500
Tl: 0.500 0.500 0.500
Co: 0.000 0.000 0.000

E_tot   -0.190 Ry per atom
Energy of formation from the pure elements   452 meV per atom
Space-group type   Pm-3m (221)
Relative energy among the computed polymorphs   0.000 eV/atom
Magnetic moment   1.330 μB per cell


(2)
# Li4TlCo

A relaxed structure of Li4TlCo (PBE, the Alexandria database).

a = 5.015 Å, b = 5.015 Å, c = 5.015 Å
α = 60.00°, β = 60.00°, γ = 60.00°
Sites, in units of the cell vectors:
Li: 0.374 0.374 0.879
Li: 0.879 0.374 0.374
Li: 0.374 0.374 0.374
Li: 0.374 0.879 0.374
Co: 0.000 0.000 0.000
Tl: 0.750 0.750 0.750

E_tot   -0.194 Ry per atom
Energy of formation from the pure elements   210 meV per atom
Space-group type   F-43m (216)
Magnetic moment   1.136 μB per cell


(3)
# LiTlCo

A relaxed structure of LiTlCo (PBE, the Alexandria database).

a = 4.398 Å, b = 4.398 Å, c = 2.855 Å
α = 90.00°, β = 90.00°, γ = 120.00°
Sites, in units of the cell vectors:
Li: 0.667 0.333 0.299
Co: 0.000 0.000 0.045
Tl: 0.333 0.667 0.657

E_tot   -0.257 Ry per atom
Energy of formation from the pure elements   300 meV per atom
Space-group type   P3m1 (156)
Relative energy among the computed polymorphs   0.009 eV/atom
Magnetic moment   1.075 μB per cell


(4)
# Li2TlCo

A relaxed structure of Li2TlCo (PBE, the Alexandria database).

a = 4.940 Å, b = 4.940 Å, c = 2.906 Å
α = 90.00°, β = 90.00°, γ = 113.37°
Sites, in units of the cell vectors:
Tl: 0.500 0.000 0.500
Li: 0.500 0.500 0.000
Li: 0.000 0.000 0.000
Co: 0.000 0.500 0.500

E_tot   -0.229 Ry per atom
Energy of formation from the pure elements   208 meV per atom
Space-group type   Cmmm (65)
Magnetic moment   1.243 μB per cell


(5)
# Li2TlCo

A relaxed structure of Li2TlCo (PBE, the Alexandria database).

a = 4.801 Å, b = 5.403 Å, c = 2.935 Å
α = 76.94°, β = 84.12°, γ = 114.61°
Sites, in units of the cell vectors:
Li: 0.500 0.000 0.500
Li: 0.000 0.000 0.000
Tl: 0.000 0.500 0.500
Co: 0.500 0.500 0.000

E_tot   -0.230 Ry per atom
Energy of formation from the pure elements   198 meV per atom
Space-group type   C2/m (12)
Magnetic moment   1.375 μB per cell


(6)
# Li2TlCo

A relaxed structure of Li2TlCo (PBE, the Alexandria database).

a = 9.118 Å, b = 9.118 Å, c = 9.118 Å
α = 19.34°, β = 19.34°, γ = 19.34°
Sites, in units of the cell vectors:
Li: 0.491 0.491 0.491
Li: 0.009 0.009 0.009
Tl: 0.250 0.250 0.250
Co: 0.750 0.750 0.750

E_tot   -0.218 Ry per atom
Energy of formation from the pure elements   364 meV per atom
Space-group type   R-3m (166)
Magnetic moment   1.644 μB per cell


(7)
# Li2TlCo

A relaxed structure of Li2TlCo (PBE, the Alexandria database).

a = 3.298 Å, b = 3.298 Å, c = 5.995 Å
α = 90.00°, β = 90.00°, γ = 90.00°
Sites, in units of the cell vectors:
Li: 0.000 0.000 0.980
Li: 0.500 0.500 0.234
Co: 0.500 0.500 0.764
Tl: 0.000 0.000 0.522

E_tot   -0.229 Ry per atom
Energy of formation from the pure elements   210 meV per atom
Space-group type   P4mm (99)
Magnetic moment   0.920 μB per cell


(8)
# Li2TlCo

A relaxed structure of Li2TlCo (PBE, the Alexandria database).

a = 3.759 Å, b = 3.759 Å, c = 9.952 Å
α = 79.11°, β = 79.11°, γ = 90.00°
Sites, in units of the cell vectors:
Tl: 0.000 0.000 0.000
Tl: 0.750 0.250 0.500
Li: 0.604 0.125 0.250
Li: 0.146 0.625 0.250
Li: 0.875 0.854 0.750
Li: 0.375 0.396 0.750
Co: 0.500 0.500 0.000
Co: 0.250 0.750 0.500

E_tot   -0.223 Ry per atom
Energy of formation from the pure elements   287 meV per atom
Space-group type   I-42d (122)
Magnetic moment   1.657 μB per cell